{
  "formula": "CrBi3F",
  "functional": "GGA+U",
  "state": "relaxed",
  "lattice_angstrom": [[5.078, 0.000, 0.000], [0.000, 5.078, 0.000], [0.000, 0.000, 5.078]],
  "species": ["Cr", "Bi", "Bi", "Bi", "F"],
  "fractional_positions": [[0.000, 0.000, 0.000], [0.000, 0.500, 0.500], [0.500, 0.000, 0.500], [0.500, 0.500, 0.000], [0.500, 0.500, 0.500]],
  "n_ef_per_ev_cell": 2.69,
  "relative_energy_mev_per_atom": 0,
  "total_energy_ev_per_atom": -4.314
}